1.
Here is a relaxed structure of BaCN2F from the Alexandria database. Energies are from PBE.

## Properties
ρ, g cm⁻³: 2.0
DOS(E_F), states/eV per cell: 4.99
E, Ha/atom: -0.1438
Formation energy (no corrections), kJ per mole of atoms: 195.0

```
data_BaCN2F
_chemical_formula_sum 'Ba1 C1 N2 F1'
_space_group_name_H-M_alt 'P 4/m m m'
_space_group_IT_number 123
_space_group_name_Hall '-P 4 2'
_cell_length_a 5.755
_cell_length_b 5.755
_cell_length_c 4.968
_cell_angle_alpha 90.00
_cell_angle_beta 90.00
_cell_angle_gamma 90.00
loop_
_atom_site_label
_atom_site_fract_x
_atom_site_fract_y
_atom_site_fract_z
Ba1 0.000 0.000 0.000
C1 0.500 0.500 0.500
N1 0.000 0.500 0.000
F1 0.000 0.000 0.500
```



2.
Here is a relaxed structure of Pm2GaF8 from the Alexandria database. Energies are from PBE.

## Properties
ρ, g cm⁻³: 5.1
DOS(E_F), states/eV per cell: 3.89
Energy above the lowest structure with this stoichiometry, meV/atom: 0
E, Ha/atom: -0.2191
Formation energy (no corrections), kJ per mole of atoms: -334.0

```
data_Pm2GaF8
_chemical_formula_sum 'Pm4 Ga2 F16'
_space_group_name_H-M_alt 'C 1 2/m 1'
_space_group_IT_number 12
_cell_length_a 10.060
_cell_length_b 7.422
_cell_length_c 4.705
_cell_angle_alpha 90.00
_cell_angle_beta 108.06
_cell_angle_gamma 90.00
loop_
_space_group_symop_operation_xyz
'x,y,z'
'-x,-y,-z'
'-x,y,-z'
'x,-y,z'
'x+1/2,y+1/2,z'
'-x+1/2,-y+1/2,-z'
'-x+1/2,y+1/2,-z'
'x+1/2,-y+1/2,z'
loop_
_atom_site_label
_atom_site_fract_x
_atom_site_fract_y
_atom_site_fract_z
Pm1 0.174 0.000 0.385
Ga1 0.000 0.500 0.000
F1 0.077 0.000 0.799
F2 0.135 0.500 0.753
F3 0.155 0.306 0.267
```



3.
Here is a relaxed structure of Y4TcAg from the Alexandria database. Energies are from PBE.

## Properties
ρ, g cm⁻³: 5.8
DOS(E_F), states/eV per cell: 10.50
Energy above the lowest structure with this stoichiometry, meV/atom: 0
E, Ha/atom: -0.2454

```
data_Y4TcAg
_chemical_formula_sum 'Y8 Tc2 Ag2'
_space_group_name_H-M_alt 'P -1'
_space_group_IT_number 2
_cell_length_a 6.408
_cell_length_b 7.378
_cell_length_c 8.022
_cell_angle_alpha 110.27
_cell_angle_beta 102.07
_cell_angle_gamma 105.08
loop_
_space_group_symop_operation_xyz
'x,y,z'
'-x,-y,-z'
loop_
_atom_site_label
_atom_site_fract_x
_atom_site_fract_y
_atom_site_fract_z
Y1 0.030 0.365 0.235
Y2 0.172 0.856 0.252
Y3 0.362 0.356 0.653
Y4 0.372 0.165 0.983
Tc1 0.253 0.508 0.001
Ag1 0.347 0.789 0.611
```



4.
Here is a relaxed structure of SrPm2Sm3Se6 from the Alexandria database. Energies are from PBE.

## Properties
ρ, g cm⁻³: 6.8
DOS(E_F), states/eV per cell: 10.48
E, Ha/atom: -0.2097
Formation energy (no corrections), kJ per mole of atoms: -178.6

```
data_SrPm2Sm3Se6
_chemical_formula_sum 'Sr2 Pm4 Sm6 Se12'
_space_group_name_H-M_alt 'C 1 2/m 1'
_space_group_IT_number 12
_cell_length_a 18.390
_cell_length_b 4.199
_cell_length_c 8.489
_cell_angle_alpha 90.00
_cell_angle_beta 103.45
_cell_angle_gamma 90.00
loop_
_space_group_symop_operation_xyz
'x,y,z'
'-x,-y,-z'
'-x,y,-z'
'x,-y,z'
'x+1/2,y+1/2,z'
'-x+1/2,-y+1/2,-z'
'-x+1/2,y+1/2,-z'
'x+1/2,-y+1/2,z'
loop_
_atom_site_label
_atom_site_fract_x
_atom_site_fract_y
_atom_site_fract_z
Sr1 0.000 0.000 0.000
Pm1 0.171 0.500 0.342
Sm1 0.000 0.000 0.500
Sm2 0.167 0.500 0.825
Se1 0.001 0.500 0.257
Se2 0.164 0.000 0.584
Se3 0.169 0.000 0.082
```



5.
Here is a relaxed structure of LaTb4Pr3 from the Alexandria database. Energies are from PBE.

## Properties
ρ, g cm⁻³: 7.2
DOS(E_F), states/eV per cell: 28.76
Energy above the lowest structure with this stoichiometry, meV/atom: 0
E, Ha/atom: -0.1724

```
data_LaTb4Pr3
_chemical_formula_sum 'La2 Tb8 Pr6'
_space_group_name_H-M_alt 'P m n 21'
_space_group_IT_number 31
_cell_length_a 11.761
_cell_length_b 7.375
_cell_length_c 6.365
_cell_angle_alpha 90.00
_cell_angle_beta 90.00
_cell_angle_gamma 90.00
loop_
_space_group_symop_operation_xyz
'x,y,z'
'-x+1/2,-y,z+1/2'
'-x,y,z'
'x+1/2,-y,z+1/2'
loop_
_atom_site_label
_atom_site_fract_x
_atom_site_fract_y
_atom_site_fract_z
La1 0.000 0.127 0.000
Tb1 0.000 0.380 0.503
Tb2 0.000 0.621 0.002
Tb3 0.249 0.621 0.334
Pr1 0.000 0.872 0.501
Pr2 0.250 0.129 0.336
```



6.
Here is a relaxed structure of AgB3Mo from the Alexandria database. Energies are from PBE.

## Properties
ρ, g cm⁻³: 5.8
DOS(E_F), states/eV per cell: 2.84
Energy above the lowest structure with this stoichiometry, meV/atom: 975
E, Ha/atom: -0.1631

```
data_AgB3Mo
_chemical_formula_sum 'Ag1 B3 Mo1'
_space_group_name_H-M_alt 'P m -3 m'
_space_group_IT_number 221
_space_group_name_Hall '-P 4 2 3'
_cell_length_a 4.067
_cell_length_b 4.067
_cell_length_c 4.067
_cell_angle_alpha 90.00
_cell_angle_beta 90.00
_cell_angle_gamma 90.00
loop_
_atom_site_label
_atom_site_fract_x
_atom_site_fract_y
_atom_site_fract_z
Ag1 0.000 0.000 0.000
B1 0.000 0.000 0.500
Mo1 0.500 0.500 0.500
```



7.
Here is a relaxed structure of Al6Ga3Tc from the Alexandria database. Energies are from PBE.

## Properties
ρ, g cm⁻³: 4.5
DOS(E_F), states/eV per cell: 6.96
E, Ha/atom: -0.1538

```
data_Al6Ga3Tc
_chemical_formula_sum 'Al12 Ga6 Tc2'
_space_group_name_H-M_alt 'C 1 2/m 1'
_space_group_IT_number 12
_cell_length_a 6.823
_cell_length_b 7.192
_cell_length_c 7.213
_cell_angle_alpha 90.00
_cell_angle_beta 100.35
_cell_angle_gamma 90.00
loop_
_space_group_symop_operation_xyz
'x,y,z'
'-x,-y,-z'
'-x,y,-z'
'x,-y,z'
'x+1/2,y+1/2,z'
'-x+1/2,-y+1/2,-z'
'-x+1/2,y+1/2,-z'
'x+1/2,-y+1/2,z'
loop_
_atom_site_label
_atom_site_fract_x
_atom_site_fract_y
_atom_site_fract_z
Al1 0.118 0.184 0.352
Al2 0.127 0.500 0.866
Ga1 0.000 0.000 0.000
Ga2 0.234 0.000 0.746
Tc1 0.000 0.500 0.500
```



8.
Here is a relaxed structure of LiTc2P from the Alexandria database. Energies are from PBE.

## Properties
ρ, g cm⁻³: 7.6
DOS(E_F), states/eV per cell: 6.35
E, Ha/atom: -0.2611

```
data_LiTc2P
_chemical_formula_sum 'Li2 Tc4 P2'
_space_group_name_H-M_alt 'C 1 m 1'
_space_group_IT_number 8
_cell_length_a 8.469
_cell_length_b 2.954
_cell_length_c 4.254
_cell_angle_alpha 90.00
_cell_angle_beta 106.25
_cell_angle_gamma 90.00
loop_
_space_group_symop_operation_xyz
'x,y,z'
'x,-y,z'
'x+1/2,y+1/2,z'
'x+1/2,-y+1/2,z'
loop_
_atom_site_label
_atom_site_fract_x
_atom_site_fract_y
_atom_site_fract_z
Li1 0.000 0.000 0.000
Tc1 0.242 0.000 0.789
Tc2 0.478 0.000 0.470
P1 0.240 0.500 0.257
```